Compound: ZrRhW2
Source: Alexandria
Functional: PBE
Structure: relaxed Values from VASP.

The structure in Quantum ESPRESSO input format:
```
&SYSTEM
  ibrav = 0, nat = 4, ntyp = 3
/
ATOMIC_SPECIES
Rh 102.91 Rh.upf
W 183.84 W.upf
Zr 91.22 Zr.upf
CELL_PARAMETERS angstrom
3.250 0.000 0.000
0.000 3.250 0.000
0.000 0.000 6.457
ATOMIC_POSITIONS crystal
Rh 0.500 0.500 0.754
W 0.000 0.000 0.010
W 0.500 0.500 0.231
Zr 0.000 0.000 0.504
```

Summary:
Crystal system: tetragonal
E above lowest polymorph (meV per atom): 0
Symmetry: P4mm, No. 99

Compound: ZrRhW2
Source: Alexandria
Functional: PBE
Structure: relaxed Values from VASP.

The structure in Quantum ESPRESSO input format:
```
&SYSTEM
  ibrav = 0, nat = 4, ntyp = 3
/
ATOMIC_SPECIES
Rh 102.91 Rh.upf
W 183.84 W.upf
Zr 91.22 Zr.upf
CELL_PARAMETERS angstrom
-0.045 2.620 1.330
-0.080 -1.642 3.230
6.450 0.023 0.172
ATOMIC_POSITIONS crystal
Rh 0.500 0.500 0.750
W 0.000 0.000 0.978
W 0.000 0.000 0.522
Zr 0.500 0.500 0.250
```

Summary:
Crystal system: orthorhombic
E above lowest polymorph (meV per atom): 346
Symmetry: Pmmm, No. 47

Compound: ZrRhW
Source: Alexandria
Functional: PBE
Structure: relaxed Values from VASP.

The structure in Quantum ESPRESSO input format:
```
&SYSTEM
  ibrav = 0, nat = 6, ntyp = 3
/
ATOMIC_SPECIES
Rh 102.91 Rh.upf
Zr 91.22 Zr.upf
W 183.84 W.upf
CELL_PARAMETERS angstrom
-2.402 -0.381 -1.664
-1.519 -3.092 2.902
-3.469 5.662 4.218
ATOMIC_POSITIONS crystal
Rh 0.036 0.250 0.110
Rh 0.964 0.750 0.890
Zr 0.515 0.250 0.785
Zr 0.485 0.750 0.215
W 0.842 0.250 0.432
W 0.158 0.750 0.568
```

Summary:
Crystal system: monoclinic
E above lowest polymorph (meV per atom): 80
Symmetry: P2_1/m, No. 11

| no. | formation energy from the elements (meV per atom) |
| --- | --- |
| 1 | -118 |
| 2 | 228 |
| 3 | -278 |